First-principles (PBE+U) data for an optimized crystal structure of LiCrP3O9, as listed in Alexandria via LeMat-Bulk.

a = 6.6586 Å, b = 6.6586 Å, c = 9.8747 Å
α = 91.52°, β = 91.52°, γ = 60.47°
Element x y z (fractional)
Li: 0.1388 0.8612 0.5000
Li: 0.8612 0.1388 0.0000
Cr: 0.3228 0.3254 0.4630
Cr: 0.3254 0.3228 0.9630
P: 0.4006 0.6489 0.2135
P: 0.4424 0.9099 0.7197
P: 0.6087 0.9500 0.2048
P: 0.6489 0.4006 0.7135
P: 0.9099 0.4424 0.2197
P: 0.9500 0.6087 0.7048
O: 0.0623 0.3404 0.3413
O: 0.0660 0.5738 0.8407
O: 0.0800 0.6143 0.5824
O: 0.2640 0.6930 0.3392
O: 0.3201 0.9899 0.5854
O: 0.3226 0.5764 0.0873
O: 0.3404 0.0623 0.8413
O: 0.4178 0.8733 0.1724
O: 0.4651 0.6644 0.7541
O: 0.5738 0.0660 0.3407
O: 0.5764 0.3226 0.5873
O: 0.6143 0.0800 0.0824
O: 0.6644 0.4651 0.2541
O: 0.6930 0.2640 0.8392
O: 0.7095 0.8463 0.7063
O: 0.8463 0.7095 0.2063
O: 0.8733 0.4178 0.6724
O: 0.9899 0.3201 0.0854

For the density of states at the Fermi level, the calculation gives 0.00 states/eV/atom. The total energy is -7.152 eV per atom. For the energy above the most stable polymorph in this dataset, the calculation gives 4 meV per atom. The value obtained for the magnetization is 4.00 μB per formula unit.